[1]
Computed, not measured: crystalline SmAgAu4 at its relaxed geometry at the PBE level of DFT.

Properties
- relative energy among the computed polymorphs (meV/atom) = 0
- calculated formation energy (eV per formula unit) = -2.44
- total DFT energy (no corrections) (eV per formula unit) = -23.12

a b c (Å): 5.5681 5.5681 5.5681
angles (deg): 60.00 60.00 60.00
Fractional positions:
Sm1 0.0000 0.0000 0.0000
Ag1 0.7500 0.7500 0.7500
Au1 0.3755 0.3755 0.3755
Au2 0.3755 0.3755 0.8736
Au3 0.3755 0.8736 0.3755
Au4 0.8736 0.3755 0.3755

[2]
Computed, not measured: crystalline Ga2Ru2Au at its relaxed geometry at the PBE level of DFT.

Properties
- calculated formation energy (eV per formula unit) = -0.35
- total DFT energy (no corrections) (eV per formula unit) = -28.23

a b c (Å): 7.0023 7.0023 3.2013
angles (deg): 90.00 90.00 90.00
Fractional positions:
Ga1 0.1641 0.3359 0.0000
Ga2 0.3359 0.8359 0.0000
Ga3 0.6641 0.1641 0.0000
Ga4 0.8359 0.6641 0.0000
Ru1 0.1341 0.6341 0.5000
Ru2 0.3659 0.1341 0.5000
Ru3 0.6341 0.8659 0.5000
Ru4 0.8659 0.3659 0.5000
Au1 0.0000 0.0000 0.5000
Au2 0.5000 0.5000 0.5000

[3]
Computed, not measured: crystalline Sr3AcRh2 at its relaxed geometry at the PBE level of DFT.

Properties
- calculated formation energy (eV per formula unit) = -1.84
- total DFT energy (no corrections) (eV per formula unit) = -25.70

a b c (Å): 9.1306 9.1306 12.2769
angles (deg): 117.79 117.79 28.78
Fractional positions:
Sr1 0.0537 0.0537 0.2358
Sr2 0.2227 0.2227 0.6002
Sr3 0.3339 0.3339 0.9765
Sr4 0.6661 0.6661 0.0235
Sr5 0.7773 0.7773 0.3998
Sr6 0.9463 0.9463 0.7642
Ac1 0.4210 0.4210 0.3334
Ac2 0.5790 0.5790 0.6666
Rh1 0.1389 0.1389 0.8279
Rh2 0.3917 0.3917 0.5626
Rh3 0.6083 0.6083 0.4374
Rh4 0.8611 0.8611 0.1721

[4]
Computed, not measured: crystalline MnAlSb2I at its relaxed geometry at the PBE level of DFT.

Properties
- relative energy among the computed polymorphs (meV/atom) = 271
- total DFT energy (no corrections) (eV per formula unit) = -19.06

a b c (Å): 5.3223 5.3223 5.5295
angles (deg): 90.00 90.00 90.00
Fractional positions:
Mn1 0.0000 0.0000 0.0000
Al1 0.5000 0.5000 0.5000
Sb1 0.0000 0.5000 0.5000
Sb2 0.5000 0.0000 0.5000
I1 0.5000 0.5000 0.0000

Number 1: DOS(E_F) 5.4 states/eV per cell. Number 2: DOS(E_F) 11.2 states/eV per cell. Number 3: DOS(E_F) 7.9 states/eV per cell. Number 4: DOS(E_F) 4.0 states/eV per cell.